Entry w
# Tl2CrPt

An optimized crystal structure of Tl2CrPt (PBE, Alexandria via LeMat-Bulk).

The structure in CIF format:
```
data_Tl2CrPt
_chemical_formula_sum 'Tl2 Cr1 Pt1'
_cell_length_a 3.345
_cell_length_b 3.356
_cell_length_c 8.547
_cell_angle_alpha 67.09
_cell_angle_beta 90.00
_cell_angle_gamma 90.00
_space_group_name_H-M_alt 'P 1'
_space_group_IT_number 1
_space_group_name_Hall 'P 1'
loop_
_atom_site_label
_atom_site_fract_x
_atom_site_fract_y
_atom_site_fract_z
Cr1 0.000 0.445 0.554
Pt1 0.500 0.807 0.695
Tl1 0.000 0.046 0.957
Tl2 0.500 0.202 0.294
```

Entry x
# Tl2CrPt

An optimized crystal structure of Tl2CrPt (PBE, Alexandria via LeMat-Bulk).

The structure in CIF format:
```
data_Tl2CrPt
_chemical_formula_sum 'Tl2 Cr1 Pt1'
_cell_length_a 4.830
_cell_length_b 4.830
_cell_length_c 4.830
_cell_angle_alpha 60.00
_cell_angle_beta 60.00
_cell_angle_gamma 60.00
_space_group_name_H-M_alt 'P 1'
_space_group_IT_number 1
_space_group_name_Hall 'P 1'
loop_
_atom_site_label
_atom_site_fract_x
_atom_site_fract_y
_atom_site_fract_z
Cr1 0.000 0.000 0.000
Tl1 0.250 0.250 0.250
Tl2 0.750 0.750 0.750
Pt1 0.500 0.500 0.500
```

Entry y
# Tl2CrPt

An optimized crystal structure of Tl2CrPt (PBE, Alexandria via LeMat-Bulk).

The structure in CIF format:
```
data_Tl2CrPt
_chemical_formula_sum 'Tl2 Cr1 Pt1'
_cell_length_a 8.787
_cell_length_b 8.787
_cell_length_c 8.787
_cell_angle_alpha 22.01
_cell_angle_beta 22.01
_cell_angle_gamma 22.01
_space_group_name_H-M_alt 'P 1'
_space_group_IT_number 1
_space_group_name_Hall 'P 1'
loop_
_atom_site_label
_atom_site_fract_x
_atom_site_fract_y
_atom_site_fract_z
Cr1 0.250 0.250 0.250
Pt1 0.750 0.750 0.750
Tl1 0.002 0.002 0.002
Tl2 0.498 0.498 0.498
```

Entry z
# Tl2CrPt

An optimized crystal structure of Tl2CrPt (PBE, Alexandria via LeMat-Bulk).

The structure in CIF format:
```
data_Tl2CrPt
_chemical_formula_sum 'Tl2 Cr1 Pt1'
_cell_length_a 4.743
_cell_length_b 3.269
_cell_length_c 5.416
_cell_angle_alpha 88.69
_cell_angle_beta 90.00
_cell_angle_gamma 90.00
_space_group_name_H-M_alt 'P 1'
_space_group_IT_number 1
_space_group_name_Hall 'P 1'
loop_
_atom_site_label
_atom_site_fract_x
_atom_site_fract_y
_atom_site_fract_z
Cr1 0.500 0.250 0.250
Pt1 0.500 0.750 0.750
Tl1 0.000 0.978 0.999
Tl2 0.000 0.522 0.501
```

Stability, descending: entry w, entry x, entry z, entry y

Entry w
# Tl2CrPt

An optimized crystal structure of Tl2CrPt (PBE, Alexandria via LeMat-Bulk).

The structure in CIF format:
```
data_Tl2CrPt
_chemical_formula_sum 'Tl2 Cr1 Pt1'
_cell_length_a 3.618
_cell_length_b 3.607
_cell_length_c 6.222
_cell_angle_alpha 90.00
_cell_angle_beta 90.00
_cell_angle_gamma 90.00
_space_group_name_H-M_alt 'P 1'
_space_group_IT_number 1
_space_group_name_Hall 'P 1'
loop_
_atom_site_label
_atom_site_fract_x
_atom_site_fract_y
_atom_site_fract_z
Cr1 0.500 0.500 0.250
Pt1 0.500 0.500 0.750
Tl1 0.000 0.000 0.994
Tl2 0.000 0.000 0.506
```

Entry x
# Tl2CrPt

An optimized crystal structure of Tl2CrPt (PBE, Alexandria via LeMat-Bulk).

The structure in CIF format:
```
data_Tl2CrPt
_chemical_formula_sum 'Tl2 Cr1 Pt1'
_cell_length_a 5.464
_cell_length_b 5.464
_cell_length_c 5.464
_cell_angle_alpha 134.63
_cell_angle_beta 134.63
_cell_angle_gamma 66.10
_space_group_name_H-M_alt 'P 1'
_space_group_IT_number 1
_space_group_name_Hall 'P 1'
loop_
_atom_site_label
_atom_site_fract_x
_atom_site_fract_y
_atom_site_fract_z
Cr1 0.500 0.500 0.000
Pt1 0.750 0.250 0.500
Tl1 0.000 0.000 0.000
Tl2 0.250 0.750 0.500
```

Entry y
# Tl2CrPt

An optimized crystal structure of Tl2CrPt (PBE, Alexandria via LeMat-Bulk).

The structure in CIF format:
```
data_Tl2CrPt
_chemical_formula_sum 'Tl2 Cr1 Pt1'
_cell_length_a 6.291
_cell_length_b 6.291
_cell_length_c 6.291
_cell_angle_alpha 149.78
_cell_angle_beta 136.43
_cell_angle_gamma 53.94
_space_group_name_H-M_alt 'P 1'
_space_group_IT_number 1
_space_group_name_Hall 'P 1'
loop_
_atom_site_label
_atom_site_fract_x
_atom_site_fract_y
_atom_site_fract_z
Cr1 0.539 0.539 0.000
Pt1 0.721 0.221 0.500
Tl1 0.975 0.975 0.000
Tl2 0.265 0.765 0.500
```

Entry z
# Tl2CrPt

An optimized crystal structure of Tl2CrPt (PBE, Alexandria via LeMat-Bulk).

The structure in CIF format:
```
data_Tl2CrPt
_chemical_formula_sum 'Tl4 Cr2 Pt2'
_cell_length_a 7.791
_cell_length_b 7.791
_cell_length_c 6.257
_cell_angle_alpha 51.50
_cell_angle_beta 51.50
_cell_angle_gamma 90.00
_space_group_name_H-M_alt 'P 1'
_space_group_IT_number 1
_space_group_name_Hall 'P 1'
loop_
_atom_site_label
_atom_site_fract_x
_atom_site_fract_y
_atom_site_fract_z
Cr1 0.500 0.500 0.000
Cr2 0.250 0.750 0.500
Tl1 0.640 0.125 0.250
Tl2 0.110 0.625 0.250
Tl3 0.375 0.360 0.750
Tl4 0.875 0.890 0.750
Pt1 0.000 0.000 0.000
Pt2 0.750 0.250 0.500
```

Stability, descending: entry y, entry x, entry w, entry z

Entry w
# TlCrPt

An optimized crystal structure of TlCrPt (PBE, Alexandria via LeMat-Bulk).

The structure in CIF format:
```
data_TlCrPt
_chemical_formula_sum 'Tl1 Cr1 Pt1'
_cell_length_a 6.292
_cell_length_b 6.292
_cell_length_c 6.292
_cell_angle_alpha 152.93
_cell_angle_beta 152.93
_cell_angle_gamma 38.65
_space_group_name_H-M_alt 'P 1'
_space_group_IT_number 1
_space_group_name_Hall 'P 1'
loop_
_atom_site_label
_atom_site_fract_x
_atom_site_fract_y
_atom_site_fract_z
Cr1 0.984 0.984 0.000
Pt1 0.356 0.356 0.000
Tl1 0.660 0.660 0.000
```

Entry x
# TlCrPt

An optimized crystal structure of TlCrPt (PBE, Alexandria via LeMat-Bulk).

The structure in CIF format:
```
data_TlCrPt
_chemical_formula_sum 'Tl1 Cr1 Pt1'
_cell_length_a 4.605
_cell_length_b 4.605
_cell_length_c 3.024
_cell_angle_alpha 90.00
_cell_angle_beta 90.00
_cell_angle_gamma 120.00
_space_group_name_H-M_alt 'P 1'
_space_group_IT_number 1
_space_group_name_Hall 'P 1'
loop_
_atom_site_label
_atom_site_fract_x
_atom_site_fract_y
_atom_site_fract_z
Cr1 0.000 0.000 0.019
Pt1 0.333 0.667 0.362
Tl1 0.667 0.333 0.618
```

Entry y
# TlCrPt

An optimized crystal structure of TlCrPt (PBE, Alexandria via LeMat-Bulk).

The structure in CIF format:
```
data_TlCrPt
_chemical_formula_sum 'Tl1 Cr1 Pt1'
_cell_length_a 4.510
_cell_length_b 4.510
_cell_length_c 4.510
_cell_angle_alpha 60.00
_cell_angle_beta 60.00
_cell_angle_gamma 60.00
_space_group_name_H-M_alt 'P 1'
_space_group_IT_number 1
_space_group_name_Hall 'P 1'
loop_
_atom_site_label
_atom_site_fract_x
_atom_site_fract_y
_atom_site_fract_z
Cr1 0.500 0.500 0.500
Pt1 0.250 0.250 0.250
Tl1 0.000 0.000 0.000
```

Stability, descending: entry y, entry x, entry w